Below is NaGa3Ni2 after structural relaxation, with properties calculated at the PBE level.

The structure in POSCAR format:
```
NaGa3Ni2
1.0
4.9236 -3.9431 0.0000
4.9236 3.9431 0.0000
0.0000 0.0000 5.1875
Na Ga Ni
2 6 4
direct
0.1304 0.8696 0.7500
0.8696 0.1304 0.2500
0.0297 0.5731 0.2500
0.4269 0.9703 0.2500
0.4617 0.5383 0.2500
0.5383 0.4617 0.7500
0.5731 0.0297 0.7500
0.9703 0.4269 0.7500
0.2916 0.2916 0.0000
0.2916 0.2916 0.5000
0.7084 0.7084 0.0000
0.7084 0.7084 0.5000
```

Properties
D(E_F) = 5.363 states/eV/cell
DFT formation energy = -166 kJ/mol of formula units
E_tot = -3.95 eV/atom